DFT (GGA+U) results for a geometry-optimized Mg30VFeO32 structure.

Calculated values
N(E_F) = 0.11 states/eV per atom
theoretical density = 3.603 g/cm³
total moment = 7.0 μB/f.u.
final energy = -6.05 eV/atom

Cell lengths 8.527, 8.527, 8.543 Å; angles 90.00, 90.00, 90.00 degrees
Last column: magnetic moment on the atom in μB.
Fractional positions:
Mg: 0.500 0.250 0.250  0.00
Mg: 0.749 0.749 0.000  0.00
Mg: 0.749 0.251 0.000  0.00
Mg: 0.250 0.750 0.500  0.00
Mg: 0.500 0.500 0.000  0.00
Mg: 0.500 0.250 0.750  0.00
Mg: 0.250 0.500 0.250  0.00
Mg: 0.750 0.750 0.500  0.00
Mg: 0.250 0.000 0.250  0.00
Mg: 0.500 0.750 0.250  0.00
Mg: 0.750 0.000 0.250  0.00
Mg: 0.500 0.750 0.750  0.00
Mg: 0.000 0.250 0.750  0.00
Mg: 0.500 0.000 0.500  0.00
Mg: 0.000 0.500 0.500  0.00
Mg: 0.750 0.500 0.750  0.00
Mg: 0.000 0.750 0.250  0.00
Mg: 0.251 0.749 0.000  0.00
Mg: 0.000 0.750 0.750  0.00
Mg: 0.500 0.000 0.000  0.00
Mg: 0.000 0.500 0.000  0.00
Mg: 0.250 0.500 0.750  0.00
Mg: 0.250 0.250 0.500  0.00
Mg: 0.750 0.000 0.750  0.00
Mg: 0.750 0.250 0.500  0.00
Mg: 0.500 0.500 0.500  0.00
Mg: 0.750 0.500 0.250  0.00
Mg: 0.250 0.000 0.750  0.00
Mg: 0.000 0.250 0.250  0.00
Mg: 0.251 0.251 0.000  0.00
O: 0.000 0.255 0.500  0.01
O: 0.500 0.251 0.500  0.00
O: 0.254 0.000 0.000  0.03
O: 0.250 0.750 0.750  0.00
O: 0.500 0.750 0.000  0.00
O: 0.000 0.746 0.000  0.03
O: 0.745 0.000 0.500  0.01
O: 0.749 0.500 0.500  0.00
O: 0.750 0.250 0.250  0.00
O: 0.000 0.500 0.250  0.00
O: 0.500 0.500 0.250  0.00
O: 0.000 0.500 0.750  0.00
O: 0.250 0.250 0.750  0.00
O: 0.500 0.500 0.750  0.00
O: 0.750 0.750 0.250  0.00
O: 0.250 0.750 0.250  0.00
O: 0.500 0.250 0.000  0.00
O: 0.255 0.000 0.500  0.01
O: 0.251 0.500 0.500  0.00
O: 0.250 0.500 0.000  0.00
O: 0.500 0.000 0.750  0.00
O: 0.250 0.250 0.250  0.00
O: 0.000 0.254 0.000  0.03
O: 0.746 0.000 0.000  0.03
O: 0.000 0.000 0.250  0.04
O: 0.000 0.000 0.750  0.04
O: 0.500 0.000 0.250  0.00
O: 0.000 0.745 0.500  0.01
O: 0.750 0.500 0.000  0.00
O: 0.500 0.749 0.500  0.00
O: 0.750 0.750 0.750  0.00
O: 0.750 0.250 0.750  0.00
Fe: 0.000 0.000 0.000  3.76
V: 0.000 0.000 0.500  2.69